(1)
! TbPm3Pt2, optimized geometry, DFT PBE; values from VASP
! Crystal system: orthorhombic
! ΔE_f, eV/atom: -0.77
! ΔE to the lowest computed polymorph, meV/atom: 80
! SG: Ibam, No. 72
&SYSTEM
  ibrav = 0, nat = 12, ntyp = 3
/
ATOMIC_SPECIES
Tb 158.93 Tb.upf
Pm 145.00 Pm.upf
Pt 195.08 Pt.upf
CELL_PARAMETERS angstrom
7.028 0.000 0.000
0.000 7.254 0.000
-3.514 -3.627 6.987
ATOMIC_POSITIONS crystal
Tb 0.000 0.500 0.000
Tb 0.000 0.000 0.000
Pm 0.500 0.250 0.000
Pm 0.500 0.750 0.000
Pm 0.765 0.015 0.530
Pm 0.235 0.485 0.470
Pm 0.235 0.985 0.470
Pm 0.765 0.515 0.530
Pt 0.573 0.361 0.723
Pt 0.851 0.139 0.277
Pt 0.149 0.861 0.723
Pt 0.427 0.639 0.277

(2)
! TaAsAuBr2, optimized geometry, DFT PBE; values from VASP
! Crystal system: tetragonal
! ΔE to the lowest computed polymorph, meV/atom: 0
! E_form (uncorrected), meV/atom: 307
! SG: P4/mmm, No. 123
&SYSTEM
  ibrav = 0, nat = 5, ntyp = 4
/
ATOMIC_SPECIES
As 74.92 As.upf
Au 196.97 Au.upf
Br 79.90 Br.upf
Ta 180.95 Ta.upf
CELL_PARAMETERS angstrom
5.013 0.000 0.000
0.000 5.013 0.000
0.000 0.000 5.228
ATOMIC_POSITIONS crystal
As 0.000 0.000 0.500
Au 0.500 0.500 0.500
Br 0.000 0.500 0.000
Br 0.500 0.000 0.000
Ta 0.000 0.000 0.000

(3)
! NaLiAl2, optimized geometry, DFT PBE; values from VASP
! Crystal system: tetragonal
! ΔE_f, eV/atom: 0.25
! ΔE to the lowest computed polymorph, meV/atom: 61
! SG: I-42d, No. 122
&SYSTEM
  ibrav = 0, nat = 8, ntyp = 3
/
ATOMIC_SPECIES
Na 22.99 Na.upf
Al 26.98 Al.upf
Li 6.94 Li.upf
CELL_PARAMETERS angstrom
-3.011 -0.629 -2.611
-2.386 -1.172 3.034
-5.889 8.967 1.514
ATOMIC_POSITIONS crystal
Na 0.000 0.000 0.000
Na 0.750 0.250 0.500
Al 0.142 0.125 0.250
Al 0.608 0.625 0.250
Al 0.375 0.858 0.750
Al 0.875 0.392 0.750
Li 0.500 0.500 0.000
Li 0.250 0.750 0.500

(4)
! PSO, optimized geometry, DFT PBE; values from VASP
! Crystal system: triclinic
! ΔE to the lowest computed polymorph, meV/atom: 0
! E_form (uncorrected), meV/atom: -888
! SG: P1, No. 1
&SYSTEM
  ibrav = 0, nat = 6, ntyp = 3
/
ATOMIC_SPECIES
P 30.97 P.upf
S 32.06 S.upf
O 16.00 O.upf
CELL_PARAMETERS angstrom
5.225 0.120 -0.647
2.616 4.537 0.229
1.847 1.601 5.717
ATOMIC_POSITIONS crystal
P 0.500 0.055 0.867
P 0.827 0.216 0.092
S 0.273 0.963 0.191
S 0.706 0.633 0.783
O 0.801 0.990 0.989
O 0.658 0.249 0.307

(5)
! Sm2NiHPt6, optimized geometry, DFT PBE; values from VASP
! Crystal system: trigonal
! Electronic total energy, eV per cell: -61.9
! SG: R-3m, No. 166
&SYSTEM
  ibrav = 0, nat = 10, ntyp = 4
/
ATOMIC_SPECIES
Sm 150.36 Sm.upf
Ni 58.69 Ni.upf
H 1.01 H.upf
Pt 195.08 Pt.upf
CELL_PARAMETERS angstrom
-4.651 2.866 1.295
1.047 -1.370 6.792
0.339 4.603 3.199
ATOMIC_POSITIONS crystal
Sm 0.712 0.136 0.576
Sm 0.288 0.864 0.424
Ni 0.000 0.000 0.000
H 0.500 0.500 0.000
Pt 0.267 0.311 0.465
Pt 0.733 0.689 0.043
Pt 0.225 0.690 0.043
Pt 0.775 0.310 0.957
Pt 0.267 0.311 0.957
Pt 0.733 0.689 0.535

(6)
! LiZnRe2, optimized geometry, DFT PBE; values from VASP
! Crystal system: tetragonal
! ΔE_f, eV/atom: 0.14
! SG: P4mm, No. 99
&SYSTEM
  ibrav = 0, nat = 4, ntyp = 3
/
ATOMIC_SPECIES
Li 6.94 Li.upf
Re 186.21 Re.upf
Zn 65.41 Zn.upf
CELL_PARAMETERS angstrom
3.085 0.000 0.000
0.000 3.085 0.000
0.000 0.000 6.064
ATOMIC_POSITIONS crystal
Li 0.500 0.500 0.736
Re 0.000 0.000 0.010
Re 0.500 0.500 0.228
Zn 0.000 0.000 0.526

(7)
! TaHgIO6, optimized geometry, DFT PBE; values from VASP
! Crystal system: triclinic
! E_form (uncorrected), meV/atom: -1217
! SG: P1, No. 1
&SYSTEM
  ibrav = 0, nat = 9, ntyp = 4
/
ATOMIC_SPECIES
Ta 180.95 Ta.upf
Hg 200.59 Hg.upf
I 126.90 I.upf
O 16.00 O.upf
CELL_PARAMETERS angstrom
-3.462 3.126 -3.662
-5.518 -1.381 -1.717
-2.630 1.490 4.830
ATOMIC_POSITIONS crystal
Ta 0.658 0.658 0.500
Hg 0.028 0.030 0.000
I 0.312 0.311 0.500
O 0.960 0.423 0.299
O 0.423 0.959 0.701
O 0.691 0.356 0.722
O 0.033 0.538 0.698
O 0.355 0.693 0.278
O 0.540 0.032 0.301

(8)
! ZnCu2Tc, optimized geometry, DFT PBE; values from VASP
! Crystal system: orthorhombic
! ΔE_f, eV/atom: 0.07
! SG: Cmmm, No. 65
&SYSTEM
  ibrav = 0, nat = 4, ntyp = 3
/
ATOMIC_SPECIES
Cu 63.55 Cu.upf
Tc 98.00 Tc.upf
Zn 65.41 Zn.upf
CELL_PARAMETERS angstrom
2.571 0.045 0.000
-0.040 2.571 0.000
0.000 0.000 7.928
ATOMIC_POSITIONS crystal
Cu 0.000 0.000 0.994
Cu 0.000 0.000 0.506
Tc 0.500 0.500 0.250
Zn 0.500 0.500 0.750

(9)
! NaSmMg, optimized geometry, DFT PBE; values from VASP
! Crystal system: monoclinic
! ΔE_f, eV/atom: 0.09
! ΔE to the lowest computed polymorph, meV/atom: 0
! SG: Cm, No. 8
&SYSTEM
  ibrav = 0, nat = 6, ntyp = 3
/
ATOMIC_SPECIES
Na 22.99 Na.upf
Sm 150.36 Sm.upf
Mg 24.30 Mg.upf
CELL_PARAMETERS angstrom
3.473 -0.013 0.350
1.724 3.015 0.350
1.844 1.065 17.819
ATOMIC_POSITIONS crystal
Na 0.486 0.486 0.246
Na 0.267 0.267 0.061
Sm 0.700 0.700 0.428
Sm 0.054 0.054 0.879
Mg 0.259 0.259 0.583
Mg 0.495 0.495 0.724

(10)
! DyCd11Pd, optimized geometry, DFT PBE; values from VASP
! Crystal system: monoclinic
! ΔE_f, eV/atom: -0.14
! SG: C2/m, No. 12
&SYSTEM
  ibrav = 0, nat = 13, ntyp = 3
/
ATOMIC_SPECIES
Dy 162.50 Dy.upf
Cd 112.41 Cd.upf
Pd 106.42 Pd.upf
CELL_PARAMETERS angstrom
5.323 0.033 2.218
2.644 7.025 1.101
-0.057 0.017 7.633
ATOMIC_POSITIONS crystal
Dy 0.000 0.000 0.000
Cd 0.299 0.214 0.207
Cd 0.701 0.786 0.793
Cd 0.494 0.786 0.207
Cd 0.506 0.214 0.793
Cd 0.360 0.645 0.660
Cd 0.640 0.355 0.340
Cd 0.981 0.355 0.660
Cd 0.019 0.645 0.340
Cd 0.000 0.500 0.000
Cd 0.500 0.000 0.500
Cd 0.000 0.000 0.500
Pd 0.500 0.500 0.000

(11)
! B3P2, optimized geometry, DFT PBE; values from VASP
! Crystal system: monoclinic
! ΔE_f, eV/atom: 0.14
! ΔE to the lowest computed polymorph, meV/atom: 0
! SG: Cm, No. 8
&SYSTEM
  ibrav = 0, nat = 10, ntyp = 2
/
ATOMIC_SPECIES
P 30.97 P.upf
B 10.81 B.upf
CELL_PARAMETERS angstrom
-1.587 3.034 -5.146
-3.006 -0.624 0.559
-0.006 4.063 4.499
ATOMIC_POSITIONS crystal
P 0.157 0.000 0.157
P 0.157 0.500 0.657
P 0.626 0.000 0.641
P 0.626 0.500 0.141
B 0.758 0.000 0.397
B 0.758 0.500 0.897
B 0.477 0.000 0.186
B 0.477 0.500 0.686
B 0.046 0.000 0.452
B 0.046 0.500 0.952

(12)
! Dy3Fe3Si2C, optimized geometry, DFT PBE; values from VASP
! Crystal system: hexagonal
! E_form (uncorrected), meV/atom: -188
! SG: P-62m, No. 189
&SYSTEM
  ibrav = 0, nat = 9, ntyp = 4
/
ATOMIC_SPECIES
Dy 162.50 Dy.upf
Fe 55.84 Fe.upf
Si 28.09 Si.upf
C 12.01 C.upf
CELL_PARAMETERS angstrom
4.063 0.000 0.000
0.000 6.567 0.000
0.000 -3.284 5.688
ATOMIC_POSITIONS crystal
Dy 0.000 0.000 0.375
Dy 0.000 0.625 0.625
Dy 0.000 0.375 0.000
Fe 0.500 0.787 0.000
Fe 0.500 0.213 0.213
Fe 0.500 0.000 0.787
Si 0.500 0.333 0.667
Si 0.500 0.667 0.333
C 0.000 0.000 0.000

Number 1: calculated volume 29.68 Å³/atom. Number 2: calculated volume 26.27 Å³/atom. Number 3: calculated volume 21.27 Å³/atom. Number 4: calculated volume 22.43 Å³/atom. Number 5: calculated volume 16.96 Å³/atom. Number 6: calculated volume 14.43 Å³/atom. Number 7: calculated volume 17.23 Å³/atom. Number 8: calculated volume 13.11 Å³/atom. Number 9: calculated volume 30.73 Å³/atom. Number 10: calculated volume 21.97 Å³/atom. Number 11: calculated volume 11.19 Å³/atom. Number 12: calculated volume 16.86 Å³/atom.